PmMo2Os2 | GGA-PBE | optimized geometry

Unit cell a=4.3670 b=4.3670 c=10.4097 alpha=90.00 beta=90.00 gamma=90.00
Last column: nearest neighbours and their distance in Å.
Space group I4/mmm (No. 139)
Unique sites:
Pm1 0.0000 0.0000 0.0000 [2 per cell]  8 Os 3.35, 8 Mo 3.40
Mo1 0.0000 0.5000 0.2500 [4 per cell]  4 Os 2.54
Os1 0.0000 0.0000 0.3748 [4 per cell]  4 Mo 2.54, 1 Os 2.61

For the formation energy, the calculation gives -0.05 eV per atom.

Pu2NpPaP4 | GGA-PBE | optimized geometry

Unit cell a=5.6171 b=5.6171 c=11.2623 alpha=90.00 beta=90.00 gamma=90.00
Last column: nearest neighbours and their distance in Å.
Space group I-4m2 (No. 119)
Unique sites:
Pu1 0.0000 0.0000 0.0000 [2 per cell]  6 P 2.81-2.84
Pu2 0.0000 0.5000 0.2500 [2 per cell]  6 P 2.81-2.83
Np1 0.0000 0.0000 0.5000 [2 per cell]  6 P 2.79-2.81
Pa1 0.0000 0.5000 0.7500 [2 per cell]  6 P 2.81
P1 0.0000 0.0000 0.2526 [4 per cell]  1 Np 2.79, 2 Pa 2.81, 3 Pu 2.81-2.84
P2 0.0000 0.5000 0.5009 [4 per cell]  1 Pa 2.81, 2 Np 2.81, 3 Pu 2.81-2.83

For the formation energy, the calculation gives -1.12 eV per atom.

Ca3MoPt | GGA-PBE | optimized geometry

Unit cell a=5.4972 b=5.4972 c=5.4972 alpha=90.00 beta=90.00 gamma=90.00
Last column: nearest neighbours and their distance in Å.
Space group Pm-3m (No. 221)
Unique sites:
Ca1 0.0000 0.0000 0.5000 [3 per cell]  2 Pt 2.75
Mo1 0.5000 0.5000 0.5000 [1 per cell]  12 Ca 3.89
Pt1 0.0000 0.0000 0.0000 [1 per cell]  6 Ca 2.75

For the formation energy, the calculation gives 0.34 eV per atom. As for the energy above the most stable polymorph in this dataset: 0.0 meV per atom.

TbEr3Tm | GGA-PBE | optimized geometry

Unit cell a=8.5746 b=3.5015 c=10.7950 alpha=90.00 beta=108.44 gamma=90.00
Last column: nearest neighbours and their distance in Å.
Space group P2_1/m (No. 11)
Unique sites:
Tb1 0.1205 0.2500 0.1546 [2 per cell]  2 Tm 3.48, 4 Tb 3.50-3.76, 7 Er 3.52-3.76
Er1 0.0970 0.2500 0.6500 [2 per cell]  1 Tm 3.35, 9 Er 3.36-3.59, 2 Tb 3.67
Er2 0.3116 0.7500 0.9331 [2 per cell]  3 Tm 3.25-3.44, 6 Er 3.50-3.55, 1 Tb 3.52
Er3 0.3147 0.7500 0.4749 [2 per cell]  3 Tm 3.27-3.42, 7 Er 3.36-3.52
Tm1 0.4906 0.7500 0.2469 [2 per cell]  7 Er 3.25-3.44, 2 Tb 3.48, 2 Tm 3.50

For the formation energy, the calculation gives 0.03 eV per atom. As for the energy above the most stable polymorph in this dataset: 33.7 meV per atom.

La2Tc | GGA-PBE | optimized geometry

Unit cell a=13.1354 b=3.4866 c=8.8632 alpha=90.00 beta=121.19 gamma=90.00
Last column: nearest neighbours and their distance in Å.
Space group C2/m (No. 12)
Unique sites:
La1 0.0003 0.0000 0.1886 [4 per cell]  2 Tc 2.94
La2 0.1875 0.5000 0.6531 [4 per cell]  2 Tc 2.85
Tc1 0.1988 0.5000 0.0496 [4 per cell]  2 Tc 2.62, 2 La 2.85

For the formation energy, the calculation gives 0.10 eV per atom. As for the energy above the most stable polymorph in this dataset: 61.9 meV per atom.

Hg2BrO2 | GGA-PBE | optimized geometry

Unit cell a=6.0326 b=6.0525 c=6.8373 alpha=90.00 beta=99.05 gamma=90.00
Last column: nearest neighbours and their distance in Å.
Space group C2/m (No. 12)
Unique sites:
Hg1 0.2283 0.0000 0.3707 [4 per cell]  4 O 2.28-2.34
Br1 0.0000 0.0000 0.0000 [2 per cell]  2 Hg 2.69
O1 0.0000 0.2569 0.5000 [4 per cell]  4 Hg 2.28-2.34

The calculation puts the energy relative to the elements, uncorrected at -0.057 eV/atom.